No. 1
DFT (GGA-PBE) results for a relaxed structure of Er4CoNi3.

As for the space group: Pmm2 (25). As for the spin magnetization: 0.00 μB/f.u. The theoretical density comes out at 9.7 g/cm3.

a b c (Å): 3.7329 4.0435 10.2635
angles (deg): 90.00 90.00 90.00
Positions (direct):
Er: 0.0000 0.0000 0.0000
Er: 0.0000 0.5000 0.2792
Er: 0.5000 0.0000 0.4940
Er: 0.5000 0.5000 0.7785
Co: 0.5000 0.0000 0.2083
Ni: 0.0000 0.0000 0.7104
Ni: 0.0000 0.5000 0.5680
Ni: 0.5000 0.5000 0.0671

No. 2
DFT (GGA-PBE) results for a relaxed structure of InRu.

As for the space group: I-43m (217). As for the spin magnetization: 0.48 μB/f.u. The theoretical density comes out at 5.3 g/cm3.

a b c (Å): 8.1503 8.1503 8.1503
angles (deg): 90.00 90.00 90.00
Positions (direct):
In: 0.2026 0.2026 0.7974
In: 0.2026 0.7974 0.2026
In: 0.2974 0.2974 0.2974
In: 0.2974 0.7026 0.7026
In: 0.7026 0.2974 0.7026
In: 0.7026 0.7026 0.2974
In: 0.7974 0.2026 0.2026
In: 0.7974 0.7974 0.7974
Ru: 0.1102 0.1102 0.1102
Ru: 0.1102 0.8898 0.8898
Ru: 0.3898 0.3898 0.6102
Ru: 0.3898 0.6102 0.3898
Ru: 0.6102 0.3898 0.3898
Ru: 0.6102 0.6102 0.6102
Ru: 0.8898 0.1102 0.8898
Ru: 0.8898 0.8898 0.1102

No. 3
DFT (GGA-PBE) results for a relaxed structure of LiZnCdCu2.

As for the space group: P4/mmm (123). As for the spin magnetization: 0.00 μB/f.u. The theoretical density comes out at 5.6 g/cm3.

a b c (Å): 4.5436 4.5436 4.4745
angles (deg): 90.00 90.00 90.00
Positions (direct):
Li: 0.0000 0.0000 0.0000
Zn: 0.0000 0.0000 0.5000
Cd: 0.5000 0.5000 0.0000
Cu: 0.0000 0.5000 0.5000
Cu: 0.5000 0.0000 0.5000

No. 4
DFT (GGA-PBE) results for a relaxed structure of Y2InPdAu.

As for the space group: P4/mmm (123). As for the spin magnetization: 0.00 μB/f.u. The theoretical density comes out at 6.5 g/cm3.

a b c (Å): 5.5020 5.5020 5.0074
angles (deg): 90.00 90.00 90.00
Positions (direct):
Y: 0.0000 0.5000 0.0000
Y: 0.5000 0.0000 0.0000
In: 0.0000 0.0000 0.5000
Pd: 0.5000 0.5000 0.5000
Au: 0.0000 0.0000 0.0000

Number 1: total energy -5.7525 eV per atom, DFT formation energy -415 meV/atom. Number 2: total energy -5.0832 eV per atom, DFT formation energy 924 meV/atom. Number 3: total energy -2.1021 eV per atom, DFT formation energy 357 meV/atom. Number 4: total energy -4.7898 eV per atom, DFT formation energy 38 meV/atom.